# SnW4AuN2

SnW4AuN2 after structural relaxation (GGA-PBE, OQMD via LeMat-Bulk).

Cell: 2.9057 2.9057 15.2777 Å, 90.00 90.00 120.00°
Space group P-6m2 (No. 187)
Unique sites:
Sn  0.0000  0.0000  0.0000 (multiplicity 1)
W  0.0000  0.0000  0.3431 (multiplicity 2)
W  0.6667  0.3333  0.1582 (multiplicity 2)
Au  0.6667  0.3333  0.5000 (multiplicity 1)
N  0.3333  0.6667  0.2504 (multiplicity 2)

For the total magnetization, the calculation gives 0.005 μB per cell. The total energy is -72.95 eV/cell.